# 1
Material: Mg5In2HgPt2
Method: DFT, GGA-PBE
State: optimized geometry

Calculated values
Mass density, g cm⁻³: 7.5
Formation enthalpy at 0 K, meV per atom: -418
E, eV per formula unit: -30.02

Unit cell a=10.3409 b=10.3409 c=3.8861 alpha=90.00 beta=90.00 gamma=90.00
With the nearest neighbours (Å) after each atom.
Element x y z (fractional)
Mg  0.0000  0.5000  0.0000  4 Pt 2.71
Mg  0.0755  0.2047  0.0000  2 Pt 2.65
Mg  0.2047  0.9245  0.0000  2 Pt 2.65
Mg  0.2953  0.4245  0.0000  2 Pt 2.65
Mg  0.4245  0.7047  0.0000  2 Pt 2.65
Mg  0.5000  0.0000  0.0000  4 Pt 2.71
Mg  0.5755  0.2953  0.0000  2 Pt 2.65
Mg  0.7047  0.5755  0.0000  2 Pt 2.65
Mg  0.7953  0.0755  0.0000  2 Pt 2.65
Mg  0.9245  0.7953  0.0000  2 Pt 2.65
In  0.1675  0.6675  0.5000  3 Pt 2.98-3.09, 6 Mg 3.13-3.31
In  0.3325  0.1675  0.5000  3 Pt 2.98-3.09, 6 Mg 3.13-3.31
In  0.6675  0.8325  0.5000  3 Pt 2.98-3.09, 6 Mg 3.13-3.31
In  0.8325  0.3325  0.5000  3 Pt 2.98-3.09, 6 Mg 3.13-3.31
Hg  0.0000  0.0000  0.5000  8 Mg 2.98
Hg  0.5000  0.5000  0.5000  8 Mg 2.98
Pt  0.1287  0.3713  0.5000  6 Mg 2.65-2.71
Pt  0.3713  0.8713  0.5000  6 Mg 2.65-2.71
Pt  0.6287  0.1287  0.5000  6 Mg 2.65-2.71
Pt  0.8713  0.6287  0.5000  6 Mg 2.65-2.71



# 2
Material: PuMg2In2Hg2
Method: DFT, GGA-PBE
State: optimized geometry

Calculated values
Mass density, g cm⁻³: 9.0
Formation enthalpy at 0 K, meV per atom: -73
E, eV per formula unit: -24.12

Unit cell a=8.7851 b=8.7851 c=8.7851 alpha=32.11 beta=32.11 gamma=32.11
With the nearest neighbours (Å) after each atom.
Element x y z (fractional)
Pu  0.0000  0.0000  0.0000  6 In 3.24, 2 Mg 3.42
Mg  0.1370  0.1370  0.1370  3 Hg 2.97, 3 Mg 3.17, 1 In 3.28
Mg  0.8630  0.8630  0.8630  3 Hg 2.97, 3 Mg 3.17, 1 In 3.28
In  0.2682  0.2682  0.2682  3 Hg 2.93, 3 Pu 3.24, 1 Mg 3.28
In  0.7318  0.7318  0.7318  3 Hg 2.93, 3 Pu 3.24, 1 Mg 3.28
Hg  0.4316  0.4316  0.4316  3 In 2.93, 3 Mg 2.97
Hg  0.5684  0.5684  0.5684  3 In 2.93, 3 Mg 2.97



# 3
Material: PuMgIn2Hg2
Method: DFT, GGA-PBE
State: optimized geometry

Calculated values
Mass density, g cm⁻³: 8.5
Formation enthalpy at 0 K, meV per atom: 132
E, eV per formula unit: -21.22

Unit cell a=8.7640 b=8.7640 c=8.7640 alpha=32.77 beta=32.77 gamma=32.77
With the nearest neighbours (Å) after each atom.
Element x y z (fractional)
Pu  0.0000  0.0000  0.0000  6 In 3.16
Mg  0.5000  0.5000  0.5000  2 In 2.79
In  0.3878  0.3878  0.3878  1 Mg 2.79, 3 Hg 2.96
In  0.6122  0.6122  0.6122  1 Mg 2.79, 3 Hg 2.96
Hg  0.2472  0.2472  0.2472  3 In 2.96
Hg  0.7528  0.7528  0.7528  3 In 2.96



# 4
Material: PuMgInHg
Method: DFT, GGA-PBE
State: optimized geometry

Calculated values
Mass density, g cm⁻³: 9.9
Formation enthalpy at 0 K, meV per atom: -184
E, eV per formula unit: -19.70

Unit cell a=5.1816 b=5.1816 c=5.1816 alpha=60.00 beta=60.00 gamma=60.00
With the nearest neighbours (Å) after each atom.
Element x y z (fractional)
Pu  0.0000  0.0000  0.0000  4 Hg 3.17, 4 In 3.17
Mg  0.5000  0.5000  0.5000  4 Hg 3.17, 4 In 3.17
In  0.7500  0.7500  0.7500  4 Mg 3.17, 4 Pu 3.17
Hg  0.2500  0.2500  0.2500  4 Mg 3.17, 4 Pu 3.17



# 5
Material: RbMg2InHg4
Method: DFT, GGA-PBE
State: optimized geometry

Calculated values
Mass density, g cm⁻³: 7.5
Formation enthalpy at 0 K, meV per atom: -149
E, eV per formula unit: -9.29

Unit cell a=11.9084 b=11.9084 c=11.9084 alpha=23.33 beta=23.33 gamma=23.33
With the nearest neighbours (Å) after each atom.
Element x y z (fractional)
Rb  0.0000  0.0000  0.0000  6 Hg 3.67
Mg  0.2300  0.2300  0.2300  6 Hg 2.88-3.03
Mg  0.7700  0.7700  0.7700  6 Hg 2.88-3.03
In  0.5000  0.5000  0.5000  8 Hg 3.13-3.40
Hg  0.1254  0.1254  0.1254  3 Mg 2.88, 3 In 3.13
Hg  0.4022  0.4022  0.4022  3 Mg 3.03
Hg  0.5978  0.5978  0.5978  3 Mg 3.03
Hg  0.8746  0.8746  0.8746  3 Mg 2.88, 3 In 3.13



# 6
Material: RbMgInHg3
Method: DFT, GGA-PBE
State: optimized geometry

Calculated values
Mass density, g cm⁻³: 7.0
Formation enthalpy at 0 K, meV per atom: -94
E, eV per formula unit: -6.77

Unit cell a=8.1682 b=8.1682 c=7.2096 alpha=90.00 beta=90.00 gamma=125.88
With the nearest neighbours (Å) after each atom.
Element x y z (fractional)
Rb  0.2159  0.7841  0.7500  1 Mg 3.74, 8 Hg 3.78-3.97, 2 In 3.84
Rb  0.7841  0.2159  0.2500  1 Mg 3.74, 8 Hg 3.78-3.97, 2 In 3.84
Mg  0.4731  0.5269  0.7500  5 Hg 2.83-2.86
Mg  0.5269  0.4731  0.2500  5 Hg 2.83-2.86
In  0.1250  0.8750  0.2500  5 Hg 2.99-3.00
In  0.8750  0.1250  0.7500  5 Hg 2.99-3.00
Hg  0.2106  0.2106  0.0000  2 Mg 2.83, 2 In 3.00, 1 Hg 3.13
Hg  0.2106  0.2106  0.5000  2 Mg 2.83, 2 In 3.00, 1 Hg 3.13
Hg  0.3304  0.6696  0.2500  1 Mg 2.86, 1 In 2.99
Hg  0.6696  0.3304  0.7500  1 Mg 2.86, 1 In 2.99
Hg  0.7894  0.7894  0.0000  2 Mg 2.83, 2 In 3.00, 1 Hg 3.13
Hg  0.7894  0.7894  0.5000  2 Mg 2.83, 2 In 3.00, 1 Hg 3.13



# 7
Material: RbMgIn2Hg4
Method: DFT, GGA-PBE
State: optimized geometry

Calculated values
Mass density, g cm⁻³: 7.8
Formation enthalpy at 0 K, meV per atom: -139
E, eV per formula unit: -10.35

Unit cell a=11.8447 b=11.8447 c=11.8447 alpha=24.00 beta=24.00 gamma=24.00
With the nearest neighbours (Å) after each atom.
Element x y z (fractional)
Rb  0.0000  0.0000  0.0000  6 Hg 3.65
Mg  0.5000  0.5000  0.5000  6 Hg 3.04
In  0.2334  0.2334  0.2334  7 Hg 3.07-3.37
In  0.7666  0.7666  0.7666  7 Hg 3.07-3.37
Hg  0.1357  0.1357  0.1357  3 Mg 3.04, 4 In 3.10-3.37
Hg  0.3996  0.3996  0.3996  3 In 3.07
Hg  0.6004  0.6004  0.6004  3 In 3.07
Hg  0.8643  0.8643  0.8643  3 Mg 3.04, 4 In 3.10-3.37



# 8
Material: Mg3In3HgRh2
Method: DFT, GGA-PBE
State: optimized geometry

Calculated values
Mass density, g cm⁻³: 8.0
Formation enthalpy at 0 K, meV per atom: -285
E, eV per formula unit: -30.57

Unit cell a=7.7533 b=7.7533 c=3.3018 alpha=90.00 beta=90.00 gamma=120.00
With the nearest neighbours (Å) after each atom.
Element x y z (fractional)
Mg  0.0000  0.7043  0.0000  2 Rh 2.74, 2 Hg 2.82, 2 In 2.96
Mg  0.2957  0.2957  0.0000  2 Rh 2.74, 2 Hg 2.82, 2 In 2.96
Mg  0.7043  0.0000  0.0000  2 Rh 2.74, 2 Hg 2.82, 2 In 2.96
In  0.0000  0.3879  0.5000  4 Rh 2.91, 6 Mg 2.96-3.18, 1 Hg 3.01
In  0.3879  0.0000  0.5000  4 Rh 2.91, 6 Mg 2.96-3.18, 1 Hg 3.01
In  0.6121  0.6121  0.5000  4 Rh 2.91, 6 Mg 2.96-3.18, 1 Hg 3.01
Hg  0.0000  0.0000  0.5000  6 Mg 2.82, 3 In 3.01
Rh  0.3333  0.6667  0.0000  3 Mg 2.74, 6 In 2.91
Rh  0.6667  0.3333  0.0000  3 Mg 2.74, 6 In 2.91



# 9
Material: Mg3In3Hg2Rh
Method: DFT, GGA-PBE
State: optimized geometry

Calculated values
Mass density, g cm⁻³: 7.9
Formation enthalpy at 0 K, meV per atom: -237
E, eV per formula unit: -23.09

Unit cell a=7.8948 b=7.8948 c=3.5795 alpha=90.00 beta=90.00 gamma=120.00
With the nearest neighbours (Å) after each atom.
Element x y z (fractional)
Mg  0.0000  0.6297  0.0000  1 Rh 2.92, 4 Hg 3.07, 4 In 3.16
Mg  0.3703  0.3703  0.0000  1 Rh 2.92, 4 Hg 3.07, 4 In 3.16
Mg  0.6297  0.0000  0.0000  1 Rh 2.92, 4 Hg 3.07, 4 In 3.16
In  0.0000  0.2630  0.5000  2 Rh 2.74, 2 Hg 2.95
In  0.2630  0.0000  0.5000  2 Rh 2.74, 2 Hg 2.95
In  0.7370  0.7370  0.5000  2 Rh 2.74, 2 Hg 2.95
Hg  0.3333  0.6667  0.5000  3 In 2.95, 6 Mg 3.07
Hg  0.6667  0.3333  0.5000  3 In 2.95, 6 Mg 3.07
Rh  0.0000  0.0000  0.0000  6 In 2.74, 3 Mg 2.92



# 10
Material: Mg5In2HgRh2
Method: DFT, GGA-PBE
State: optimized geometry

Calculated values
Mass density, g cm⁻³: 6.4
Formation enthalpy at 0 K, meV per atom: -315
E, eV per formula unit: -31.60

Unit cell a=9.7130 b=9.7130 c=4.1997 alpha=90.00 beta=90.00 gamma=90.00
With the nearest neighbours (Å) after each atom.
Element x y z (fractional)
Mg  0.0000  0.5000  0.0000  4 Rh 2.67, 4 Mg 2.95
Mg  0.0795  0.2074  0.0000  2 Rh 2.72, 2 Mg 2.93-2.95, 2 Hg 3.01
Mg  0.2074  0.9205  0.0000  2 Rh 2.72, 2 Mg 2.93-2.95, 2 Hg 3.01
Mg  0.2926  0.4205  0.0000  2 Rh 2.72, 2 Mg 2.93-2.95, 2 Hg 3.01
Mg  0.4205  0.7074  0.0000  2 Rh 2.72, 2 Mg 2.93-2.95, 2 Hg 3.01
Mg  0.5000  0.0000  0.0000  4 Rh 2.67, 4 Mg 2.95
Mg  0.5795  0.2926  0.0000  2 Rh 2.72, 2 Mg 2.93-2.95, 2 Hg 3.01
Mg  0.7074  0.5795  0.0000  2 Rh 2.72, 2 Mg 2.93-2.95, 2 Hg 3.01
Mg  0.7926  0.0795  0.0000  2 Rh 2.72, 2 Mg 2.93-2.95, 2 Hg 3.01
Mg  0.9205  0.7926  0.0000  2 Rh 2.72, 2 Mg 2.93-2.95, 2 Hg 3.01
In  0.1719  0.6719  0.5000  3 Rh 2.86-2.88, 2 Mg 3.16
In  0.3281  0.1719  0.5000  3 Rh 2.86-2.88, 2 Mg 3.16
In  0.6719  0.8281  0.5000  3 Rh 2.86-2.88, 2 Mg 3.16
In  0.8281  0.3281  0.5000  3 Rh 2.86-2.88, 2 Mg 3.16
Hg  0.0000  0.0000  0.5000  8 Mg 3.01
Hg  0.5000  0.5000  0.5000  8 Mg 3.01
Rh  0.1196  0.3804  0.5000  6 Mg 2.67-2.72, 3 In 2.86-2.88
Rh  0.3804  0.8804  0.5000  6 Mg 2.67-2.72, 3 In 2.86-2.88
Rh  0.6196  0.1196  0.5000  6 Mg 2.67-2.72, 3 In 2.86-2.88
Rh  0.8804  0.6196  0.5000  6 Mg 2.67-2.72, 3 In 2.86-2.88



> formation enthalpy at 0 K of number 5 (RbMg2InHg4)?

-149 meV per atom



> What is the formula in the eighth record?

Mg3In3HgRh2